Compound: SnP2H
Source: Alexandria via LeMat-Bulk
Functional: PBE
Structure: relaxed

Calculated values
Polymorph energy (0 for the lowest one), meV/atom: 128
Magnetization, μB/atom: 0.00
VASP energy, eV per atom: -4.01

Cell: 5.2844 5.2844 6.3046 Å, 65.22 65.22 90.00°
Closest atoms and distances in Å follow each position.
Positions (direct):
Sn  0.0000  0.0000  0.0000  4 P 2.57
Sn  0.7500  0.2500  0.5000  4 P 2.57
P  0.8750  0.7831  0.7500  2 H 2.01
P  0.5331  0.1250  0.2500  2 H 2.01
P  0.2169  0.6250  0.2500  2 H 2.01
P  0.3750  0.4669  0.7500  2 H 2.01
H  0.2500  0.7500  0.5000  4 P 2.01
H  0.5000  0.5000  0.0000  4 P 2.01

***

Compound: NaHg3H
Source: Alexandria via LeMat-Bulk
Functional: PBE
Structure: relaxed

Calculated values
Polymorph energy (0 for the lowest one), meV/atom: 0
Magnetization, μB/atom: 0.00
VASP energy, eV per atom: -1.12

Cell: 11.6356 3.3663 15.0686 Å, 131.75 90.00 90.00°
Closest atoms and distances in Å follow each position.
Positions (direct):
Hg  0.9179  0.5369  0.4287  1 H 2.07
Hg  0.0821  0.4631  0.5713  1 H 2.07
Hg  0.4942  0.1631  0.3049  7 Hg 3.09-3.37, 3 Na 3.22-3.24
Hg  0.0058  0.6631  0.8049  7 Hg 3.09-3.37, 3 Na 3.22-3.24
Hg  0.9942  0.3369  0.1951  7 Hg 3.09-3.37, 3 Na 3.22-3.24
Hg  0.2526  0.0881  0.7777  1 H 1.99
Hg  0.7526  0.4119  0.7223  1 H 1.99
Hg  0.2474  0.5881  0.2777  1 H 1.99
Hg  0.4179  0.9631  0.0713  1 H 2.07
Hg  0.5821  0.0369  0.9287  1 H 2.07
Hg  0.7474  0.9119  0.2223  1 H 1.99
Hg  0.5058  0.8369  0.6951  7 Hg 3.09-3.37, 3 Na 3.22-3.24
H  0.7821  0.8883  0.5476  2 Hg 1.99-2.07
H  0.2821  0.6117  0.9524  2 Hg 1.99-2.07
H  0.2179  0.1117  0.4524  2 Hg 1.99-2.07
H  0.7179  0.3883  0.0476  2 Hg 1.99-2.07
Na  0.6729  0.1394  0.4645  2 H 2.30-2.31
Na  0.8271  0.6394  0.9645  2 H 2.30-2.31
Na  0.3271  0.8606  0.5355  2 H 2.30-2.31
Na  0.1729  0.3607  0.0355  2 H 2.30-2.31

***

Compound: TbSc2O4
Source: Alexandria via LeMat-Bulk
Functional: PBE
Structure: relaxed

Calculated values
Polymorph energy (0 for the lowest one), meV/atom: 0
Magnetization, μB/atom: 0.00
E_form (uncorrected), eV/atom: -3.36
VASP energy, eV per atom: -8.66

Cell: 3.1532 5.4386 10.3796 Å, 90.00 90.00 106.85°
Closest atoms and distances in Å follow each position.
Positions (direct):
O  0.9604  0.9209  0.7500  2 Sc 2.10, 2 Tb 2.30
O  0.0396  0.0791  0.2500  2 Sc 2.10, 2 Tb 2.30
O  0.2264  0.4528  0.8856  3 Sc 2.16-2.23, 2 Tb 2.38
O  0.2264  0.4528  0.6144  3 Sc 2.16-2.23, 2 Tb 2.38
O  0.7736  0.5472  0.3856  3 Sc 2.16-2.23, 2 Tb 2.38
O  0.5000  0.0000  0.0000  4 Sc 2.19
O  0.5000  0.0000  0.5000  4 Sc 2.19
O  0.7736  0.5472  0.1144  3 Sc 2.16-2.23, 2 Tb 2.38
Sc  0.1286  0.2572  0.0688  6 O 2.10-2.23
Sc  0.8714  0.7428  0.9312  6 O 2.10-2.23
Sc  0.1286  0.2572  0.4312  6 O 2.10-2.23
Sc  0.8714  0.7428  0.5688  6 O 2.10-2.23
Tb  0.3791  0.7582  0.2500  6 O 2.30-2.38
Tb  0.6209  0.2418  0.7500  6 O 2.30-2.38